CaDyEr2Se4, optimized geometry, DFT GGA-PBE; V = 191.9 Å³ per cell; raw total energy = -43.92 eV per formula unit; space-group type = P2/m (10); formation energy (no corrections) = -14.25 eV per formula unit
1.0
7.0647 0.0000 0.0000
0.0000 4.0635 0.0000
-2.3230 0.0000 6.6841
Ca Dy Er Se
1 1 2 4
Cartesian
0.0000 0.0000 0.0000
-1.1615 2.0317 3.3421
2.3709 0.0000 3.3421
3.5324 2.0317 0.0000
0.0475 0.0000 5.0204
1.2165 2.0317 1.6897
3.5253 2.0317 4.9944
4.6942 0.0000 1.6637